Si4C after structural relaxation, computed with PBE-GGA.

Cell: 2.8431 2.8431 9.4930 Å, 90.00 90.00 120.00°
Space group P-3m1 (No. 164)
One atom of each set of equivalent atoms:
Si: 0.3333 0.6667 0.1203 (multiplicity 2)
Si: 0.3333 0.6667 0.3762 (multiplicity 2)
C: 0.0000 0.0000 0.5000 (multiplicity 1)

As for the volume: 13.291 A^3/atom. For the energy above the most stable polymorph in this dataset, the calculation gives 0 meV/atom. Its formation energy without anion corrections is 0.63 eV per atom. The value obtained for the total energy is -5.56 eV/atom.

***

NiRhS2 after structural relaxation, computed with PBE-GGA.

Cell: 5.170 5.170 10.284 Å, 90.00 90.00 90.00°
Space group I-42d (No. 122)
One atom of each set of equivalent atoms:
Ni: 0.000 0.000 0.000 (multiplicity 4)
Rh: 0.000 0.000 0.500 (multiplicity 4)
S: 0.234 0.250 0.125 (multiplicity 8)

As for the volume: 17.182 A^3/atom. Its formation energy without anion corrections is -0.29 eV per atom. The value obtained for the total energy is -5.64 eV/atom.

***

Ba2CdIr after structural relaxation, computed with PBE-GGA.

Cell: 3.863 3.863 9.384 Å, 90.00 90.00 90.00°
Space group P4mm (No. 99)
One atom of each set of equivalent atoms:
Ba: 0.000 0.000 0.000 (multiplicity 1)
Ba: 0.500 0.500 0.442 (multiplicity 1)
Cd: 0.000 0.000 0.669 (multiplicity 1)
Ir: 0.500 0.500 0.773 (multiplicity 1)

As for the volume: 35.004 A^3/atom. The value obtained for the total energy is -3.31 eV/atom. Its formation energy is 0.10 eV per atom.

***

EuS2 after structural relaxation, computed with PBE-GGA.

Cell: 3.898 3.898 8.420 Å, 90.00 90.00 90.00°
Space group P4/nmm (No. 129, origin choice 2)
One atom of each set of equivalent atoms:
Eu: 0.250 0.250 0.214 (multiplicity 2)
S: 0.250 0.250 0.865 (multiplicity 2)
S: 0.250 0.750 0.500 (multiplicity 2)

As for the volume: 21.324 A^3/atom. Its formation energy without anion corrections is -1.33 eV per atom. The value obtained for the total energy is -7.50 eV/atom.